Material: MnV6Cr3
Method: DFT, PBE-GGA
State: relaxed

a = 7.168 Å, b = 4.119 Å, c = 8.781 Å
α = 90.00°, β = 105.96°, γ = 90.00°
Space group P2_1/m (No. 11)
Inequivalent atoms, fractional coordinates:
Mn1 0.050 0.250 0.401
V1 0.054 0.750 0.897
V2 0.150 0.750 0.200
V3 0.151 0.250 0.696
V4 0.247 0.750 0.502
V5 0.354 0.250 0.304
V6 0.454 0.750 0.101
Cr1 0.248 0.250 0.999
Cr2 0.350 0.750 0.800
Cr3 0.451 0.250 0.600

Properties
The relative energy among the computed polymorphs comes out at 0.00 eV per formula unit. The final energy is -9.39 eV per atom. As for the calculated volume: 249 Å³/cell. The value obtained for the energy relative to the elements is -0.11 eV per atom.

---

Material: Mn2V4Cr
Method: DFT, PBE-GGA
State: relaxed

a = 5.659 Å, b = 8.114 Å, c = 4.023 Å
α = 90.00°, β = 90.00°, γ = 90.00°
Space group Cmmm (No. 65)
Inequivalent atoms, fractional coordinates:
Mn1 0.000 0.248 0.000
V1 0.240 0.500 0.000
V2 0.250 0.250 0.500
Cr1 0.000 0.000 0.500

Properties
The relative energy among the computed polymorphs comes out at 0.00 eV per formula unit. The final energy is -9.10 eV per atom. As for the calculated volume: 185 Å³/cell. The value obtained for the energy relative to the elements is 0.10 eV per atom.

---

Material: Mn3VCr
Method: DFT, PBE-GGA
State: relaxed

a = 4.024 Å, b = 14.215 Å, c = 4.030 Å
α = 90.00°, β = 90.00°, γ = 90.00°
Space group Cmcm (No. 63)
Inequivalent atoms, fractional coordinates:
Mn1 0.000 0.054 0.250
Mn2 0.000 0.250 0.250
Mn3 0.000 0.446 0.250
V1 0.000 0.150 0.750
Cr1 0.000 0.353 0.750

Properties
The relative energy among the computed polymorphs comes out at 0.00 eV per formula unit. The final energy is -9.29 eV per atom. As for the calculated volume: 231 Å³/cell. The value obtained for the energy relative to the elements is -0.04 eV per atom.

---

Material: Mn5V6Cr
Method: DFT, PBE-GGA
State: relaxed

a = 4.069 Å, b = 5.760 Å, c = 12.223 Å
α = 90.00°, β = 90.00°, γ = 90.00°
Space group Immm (No. 71)
Inequivalent atoms, fractional coordinates:
Mn1 0.000 0.000 0.000
Mn2 0.000 0.000 0.332
Mn3 0.000 0.500 0.333
V1 0.000 0.250 0.167
V2 0.000 0.250 0.500
Cr1 0.000 0.500 0.000

Properties
The final energy is -9.43 eV per atom. As for the calculated volume: 286 Å³/cell. The value obtained for the energy relative to the elements is -0.25 eV per atom.